1.
Below is a relaxed Rb3MgCl5 crystal, with properties calculated at the PBE-GGA level.

Unit cell a=8.9912 b=8.9912 c=9.7390 alpha=117.49 beta=117.49 gamma=90.00
Closest atoms and distances in Å follow each position.
Element x y z (fractional)
Rb: 0.6669 0.1669 0.0000  8 Cl 3.29-3.60
Rb: 0.3331 0.8331 0.0000  8 Cl 3.29-3.60
Rb: 0.8331 0.6669 0.0000  8 Cl 3.29-3.60
Rb: 0.1669 0.3331 0.0000  8 Cl 3.29-3.60
Rb: 0.2500 0.2500 0.5000  10 Cl 3.69-3.74
Rb: 0.7500 0.7500 0.5000  10 Cl 3.69-3.74
Mg: 0.7500 0.2500 0.5000  4 Cl 2.34
Mg: 0.2500 0.7500 0.5000  4 Cl 2.34
Cl: 0.9923 0.4923 0.6952  1 Mg 2.34
Cl: 0.7029 0.2029 0.6952  1 Mg 2.34
Cl: 0.2029 0.9923 0.6952  1 Mg 2.34
Cl: 0.4923 0.7029 0.6952  1 Mg 2.34
Cl: 0.0077 0.5077 0.3048  1 Mg 2.34
Cl: 0.2971 0.7971 0.3048  1 Mg 2.34
Cl: 0.7971 0.0077 0.3048  1 Mg 2.34
Cl: 0.5077 0.2971 0.3048  1 Mg 2.34
Cl: 0.5000 0.5000 0.0000  6 Rb 3.35-3.69
Cl: 0.0000 0.0000 0.0000  6 Rb 3.35-3.69

E_form (uncorrected): -1.925 eV per atom
DOS(E_F): 0.0000 states/eV per atom
Space-group type: No. 140



2.
Below is a relaxed CeNi12B4 crystal, with properties calculated at the PBE-GGA level.

Unit cell a=6.2883 b=6.2883 c=6.2883 alpha=109.47 beta=109.47 gamma=109.47
Closest atoms and distances in Å follow each position.
Element x y z (fractional)
Ce: 0.0000 0.0000 0.0000  12 Ni 2.75
Ni: 0.8181 0.3323 0.1504  2 B 1.97
Ni: 0.3322 0.5141 0.1819  2 B 1.97
Ni: 0.8496 0.1819 0.6677  2 B 1.97
Ni: 0.3323 0.1504 0.8181  2 B 1.97
Ni: 0.1504 0.8181 0.3323  2 B 1.97
Ni: 0.6678 0.4859 0.8181  2 B 1.97
Ni: 0.5141 0.1819 0.3322  2 B 1.97
Ni: 0.4859 0.8181 0.6678  2 B 1.97
Ni: 0.6677 0.8496 0.1819  2 B 1.97
Ni: 0.8181 0.6677 0.4859  2 B 1.97
Ni: 0.1819 0.3323 0.5141  2 B 1.97
Ni: 0.1819 0.6678 0.8496  2 B 1.97
B: 0.0000 0.5000 0.0000  6 Ni 1.97
B: 0.5000 0.0000 0.0000  6 Ni 1.97
B: 0.5000 0.5000 0.5000  6 Ni 1.97
B: 0.0000 0.0000 0.5000  6 Ni 1.97

Formation enthalpy at 0 K: -0.12 eV per atom
DOS(E_F): 0.4493 states/eV per atom
Space-group type: No. 204



3.
Below is a relaxed OsAu2Cl crystal, with properties calculated at the PBE-GGA level.

Unit cell a=2.8142 b=4.7505 c=5.2186 alpha=90.00 beta=90.00 gamma=90.00
Closest atoms and distances in Å follow each position.
Element x y z (fractional)
Au: 0.0000 0.0000 0.0000  6 Au 2.76-2.81, 4 Cl 2.96
Au: 0.5000 0.5000 0.0000  6 Au 2.76-2.81, 4 Os 2.96
Cl: 0.5000 0.0000 0.5000  4 Os 2.76, 2 Cl 2.81, 4 Au 2.96
Os: 0.0000 0.5000 0.5000  4 Cl 2.76, 2 Os 2.81, 4 Au 2.96

E_form (uncorrected): 0.936 eV per atom
Polymorph energy (0 for the lowest one): 0.439 eV per atom
DOS(E_F): 0.9484 states/eV per atom
Space-group type: No. 47



4.
Below is a relaxed ZnAg5 crystal, with properties calculated at the PBE-GGA level.

Unit cell a=4.0438 b=6.6220 c=4.0832 alpha=90.00 beta=90.00 gamma=72.22
Closest atoms and distances in Å follow each position.
Element x y z (fractional)
Ag: 0.1933 0.6134 0.5000  10 Ag 2.87-2.97, 2 Zn 2.92
Ag: 0.3647 0.2705 0.0000  10 Ag 2.87-2.98, 2 Zn 2.88
Ag: 0.5278 0.9445 0.5000  4 Zn 2.87, 8 Ag 2.90-2.91
Ag: 0.6908 0.6183 0.0000  10 Ag 2.87-2.98, 2 Zn 2.88
Ag: 0.8622 0.2756 0.5000  10 Ag 2.87-2.97, 2 Zn 2.92
Zn: 0.0278 0.9444 0.0000  12 Ag 2.87-2.92

Formation enthalpy at 0 K: 0.01 eV per atom
Polymorph energy (0 for the lowest one): 0.013 eV per atom
DOS(E_F): 0.3520 states/eV per atom
Space-group type: No. 65



Q: Which spin magnetization values were calculated for the entries above? A: 0.14, 0.00, 0.00, 0.00, in μB/f.u..